(1)
A plane-wave DFT calculation with PBE was carried out for Pa2H4Se3 after structural relaxation. Values from VASP.

```
&SYSTEM
  ibrav = 0, nat = 9, ntyp = 3
/
ATOMIC_SPECIES
Pa 231.04 Pa.upf
H 1.01 H.upf
Se 78.96 Se.upf
ATOMIC_POSITIONS crystal
Pa 0.399 0.926 0.276
Pa 0.601 0.074 0.724
H 0.286 0.319 0.110
H 0.714 0.681 0.890
H 0.055 0.246 0.644
H 0.945 0.754 0.356
Se 0.325 0.692 0.657
Se 0.000 0.000 0.000
Se 0.675 0.308 0.343
CELL_PARAMETERS angstrom
-3.475 1.734 0.056
-2.992 -1.508 -4.257
-5.239 -6.208 1.786
```

Calculated values
- Total energy: -5.393 eV per atom
- N(E_F): 0.08 states/eV/atom
- ρ: 7.8 g/cm³



(2)
A plane-wave DFT calculation with PBE was carried out for PaHSe3 after structural relaxation. Values from VASP.

```
&SYSTEM
  ibrav = 0, nat = 10, ntyp = 3
/
ATOMIC_SPECIES
Pa 231.04 Pa.upf
H 1.01 H.upf
Se 78.96 Se.upf
ATOMIC_POSITIONS crystal
Pa 0.395 0.824 0.301
Pa 0.649 0.331 0.120
H 0.298 0.629 0.642
H 0.745 0.525 0.779
Se 0.049 0.131 0.352
Se 0.405 0.845 0.618
Se 0.639 0.309 0.804
Se 0.995 0.023 0.069
Se 0.287 0.607 0.039
Se 0.757 0.547 0.383
CELL_PARAMETERS angstrom
-0.614 -2.884 -2.707
7.164 1.294 -0.045
2.261 -6.107 5.982
```

Calculated values
- Total energy: -5.427 eV per atom
- N(E_F): 0.45 states/eV/atom
- ρ: 6.3 g/cm³



(3)
A plane-wave DFT calculation with PBE was carried out for Pa3HSe6 after structural relaxation. Values from VASP.

```
&SYSTEM
  ibrav = 0, nat = 20, ntyp = 3
/
ATOMIC_SPECIES
Pa 231.04 Pa.upf
H 1.01 H.upf
Se 78.96 Se.upf
ATOMIC_POSITIONS crystal
Pa 0.499 0.930 0.727
Pa 0.999 0.727 0.930
Pa 0.382 0.400 0.600
Pa 0.882 0.600 0.400
Pa 0.999 0.070 0.273
Pa 0.499 0.273 0.070
H 0.887 0.261 0.739
H 0.387 0.739 0.261
Se 0.189 0.705 0.626
Se 0.689 0.626 0.705
Se 0.226 0.445 0.907
Se 0.726 0.907 0.445
Se 0.220 0.022 0.978
Se 0.670 0.239 0.761
Se 0.170 0.761 0.239
Se 0.720 0.978 0.022
Se 0.226 0.093 0.555
Se 0.726 0.555 0.093
Se 0.189 0.374 0.295
Se 0.689 0.295 0.374
CELL_PARAMETERS angstrom
-5.796 2.389 2.793
1.711 -4.403 7.315
3.915 7.609 1.616
```

Calculated values
- Total energy: -6.366 eV per atom
- N(E_F): 1.45 states/eV/atom
- ρ: 7.6 g/cm³



(4)
A plane-wave DFT calculation with PBE was carried out for PaH3Se2 after structural relaxation. Values from VASP.

```
&SYSTEM
  ibrav = 0, nat = 24, ntyp = 3
/
ATOMIC_SPECIES
Pa 231.04 Pa.upf
H 1.01 H.upf
Se 78.96 Se.upf
ATOMIC_POSITIONS crystal
Pa 0.575 0.851 0.500
Pa 0.175 0.649 0.000
Pa 0.925 0.149 0.500
Pa 0.825 0.351 0.000
H 0.247 0.744 0.172
H 0.163 0.256 0.828
H 0.009 0.744 0.828
H 0.580 0.256 0.172
H 0.503 0.756 0.328
H 0.587 0.244 0.672
H 0.741 0.756 0.672
H 0.431 0.138 0.500
H 0.681 0.638 0.000
H 0.319 0.362 0.000
H 0.069 0.862 0.500
H 0.170 0.244 0.328
Se 0.871 0.500 0.258
Se 0.121 0.000 0.758
Se 0.879 0.000 0.242
Se 0.629 0.500 0.742
Se 0.358 0.000 0.283
Se 0.642 0.000 0.717
Se 0.392 0.500 0.217
Se 0.108 0.500 0.783
CELL_PARAMETERS angstrom
7.225 0.000 3.137
3.613 6.912 1.569
0.599 0.000 8.509
```

Calculated values
- Total energy: -4.670 eV per atom
- ρ: 6.3 g/cm³